## Tb2PmNd6 (PBE)

Data for crystalline Tb2PmNd6 at its relaxed geometry.

Structure (extended XYZ):
```
9
Lattice="7.6108 0.0000 0.0000 -3.8054 6.5911 0.0000 0.0000 0.0000 6.2601" Properties=species:S:1:pos:R:3 pbc="T T T"
Tb 0.0000 4.3941 1.7814
Tb 3.8054 2.1970 4.4787
Pm 0.0000 0.0000 3.1300
Nd 0.0000 2.4798 4.9467
Nd -1.6578 5.3512 4.9467
Nd 2.1475 1.2399 1.3134
Nd 1.6578 5.3512 4.9467
Nd 5.4632 1.2399 1.3134
Nd 3.8054 4.1113 1.3134
```

Computed properties:
raw total energy = -4.523 eV per atom
energy of formation = 0.2122 eV per atom
total moment = 1.014 μB per cell

=====

## Tb2Pm3Nd (PBE)

Data for crystalline Tb2Pm3Nd at its relaxed geometry.

Structure (extended XYZ):
```
12
Lattice="8.8888 -3.6232 0.0000 8.8888 3.6232 0.0000 -0.0080 0.0000 6.2757" Properties=species:S:1:pos:R:3 pbc="T T T"
Tb 2.9701 0.9013 2.6212
Tb 2.9661 -0.9013 5.7590
Tb 14.8035 0.9013 0.5167
Tb 14.7995 -0.9013 3.6545
Pm 8.8868 2.7235 1.5689
Pm 5.9052 0.9097 0.5246
Pm 5.9012 -0.9097 3.6624
Pm 11.8684 0.9097 2.6133
Pm 11.8643 -0.9097 5.7512
Pm 8.8828 -2.7235 4.7068
Nd 8.8828 0.9124 4.7068
Nd 8.8868 -0.9124 1.5689
```

Computed properties:
raw total energy = -4.699 eV per atom
energy of formation = 0.0140 eV per atom
total moment = 0.000 μB per cell

=====

## TbPm2Nd (PBE)

Data for crystalline TbPm2Nd at its relaxed geometry.

Structure (extended XYZ):
```
4
Lattice="1.8176 1.0494 11.8715 -1.8176 1.0494 11.8715 0.0000 -2.0988 11.8715" Properties=species:S:1:pos:R:3 pbc="T T T"
Tb 0.0000 0.0000 0.0000
Pm 0.0000 0.0000 8.9448
Pm 0.0000 0.0000 26.6696
Nd 0.0000 0.0000 17.8072
```

Computed properties:
raw total energy = -4.711 eV per atom
energy of formation = 0.0137 eV per atom
total moment = 0.000 μB per cell

=====

## TbPm3Nd5 (PBE)

Data for crystalline TbPm3Nd5 at its relaxed geometry.

Structure (extended XYZ):
```
18
Lattice="5.7818 -5.7546 0.0000 5.7818 5.7546 0.0000 -5.1625 0.0000 10.6220" Properties=species:S:1:pos:R:3 pbc="T T T"
Tb -0.4789 0.0000 3.1298
Tb 6.8800 0.0000 7.4922
Pm 0.0000 0.0000 0.0000
Pm -2.5812 0.0000 5.3110
Pm -1.9667 0.0000 9.0078
Pm 2.6126 0.0000 3.6363
Pm 3.7885 0.0000 6.9857
Pm 8.3677 0.0000 1.6142
Nd -0.9425 3.0491 9.0565
Nd 3.2005 2.8180 5.3110
Nd 0.4704 0.0000 6.3149
Nd 7.3435 3.0491 1.5655
Nd 4.8285 0.0000 1.2602
Nd 1.5725 0.0000 9.3618
Nd -0.9425 -3.0491 9.0565
Nd 5.9306 0.0000 4.3072
Nd 3.2005 -2.8180 5.3110
Nd 7.3435 -3.0491 1.5655
```

Computed properties:
raw total energy = -4.199 eV per atom
energy of formation = 0.5477 eV per atom
total moment = 0.000 μB per cell

=====

## Tb12Pm7Nd (PBE)

Data for crystalline Tb12Pm7Nd at its relaxed geometry.

Structure (extended XYZ):
```
20
Lattice="6.4701 3.7355 4.6184 -6.4701 3.7355 4.6184 0.0000 -7.4710 4.6184" Properties=species:S:1:pos:R:3 pbc="T T T"
Tb -2.1658 -0.7569 4.8360
Tb -0.8584 -3.7223 5.7735
Tb -3.6528 -1.1178 8.0816
Tb -2.7944 2.6045 5.7735
Tb 1.7384 -1.4972 4.8360
Tb 0.4274 2.2541 4.8360
Tb -0.4274 -2.2541 9.0191
Tb -1.7384 1.4972 9.0191
Tb 2.7944 -2.6045 8.0816
Tb 3.6528 1.1177 5.7735
Tb 0.8584 3.7223 8.0816
Tb 2.1658 0.7569 9.0191
Pm -2.1702 0.7570 2.1408
Pm 0.4295 -2.2579 2.1408
Pm 1.7407 1.5010 2.1409
Pm 0.0000 0.0000 6.9276
Pm -1.7407 -1.5009 11.7143
Pm -0.4295 2.2579 11.7143
Pm 2.1702 -0.7570 11.7143
Nd 0.0000 0.0000 0.0000
```

Computed properties:
raw total energy = -4.404 eV per atom
energy of formation = 0.2753 eV per atom
total moment = 0.000 μB per cell

=====

## Tb9Pm2Nd (PBE)

Data for crystalline Tb9Pm2Nd at its relaxed geometry.

Structure (extended XYZ):
```
12
Lattice="11.3429 0.0000 0.0000 -5.6714 9.8232 0.0000 0.0000 0.0000 3.5230" Properties=species:S:1:pos:R:3 pbc="T T T"
Tb -2.8357 4.9116 0.0000
Tb 0.0000 3.4469 1.7615
Tb -2.6863 8.0997 1.7615
Tb 2.9851 1.7235 1.7615
Tb 5.6714 0.0000 0.0000
Tb 2.8357 4.9116 0.0000
Tb 2.6863 8.0997 1.7615
Tb 8.3577 1.7235 1.7615
Tb 5.6714 6.3763 1.7615
Pm 0.0000 6.5488 0.0000
Pm 5.6714 3.2744 0.0000
Nd 0.0000 0.0000 0.0000
```

Computed properties:
raw total energy = -4.612 eV per atom
energy of formation = 0.0502 eV per atom
total moment = 0.000 μB per cell

=====

## Tb2Pm2Nd3 (PBE)

Data for crystalline Tb2Pm2Nd3 at its relaxed geometry.

Structure (extended XYZ):
```
7
Lattice="8.8972 -1.7770 0.0000 8.8972 1.7770 0.0000 -4.2098 0.0000 7.6126" Properties=species:S:1:pos:R:3 pbc="T T T"
Tb 1.2252 0.0000 2.5179
Tb 12.3593 0.0000 5.0947
Pm 7.3689 0.0000 0.6819
Pm 6.2156 0.0000 6.9307
Nd -2.1049 0.0000 3.8063
Nd 0.4283 0.0000 6.0769
Nd 13.1562 0.0000 1.5357
```

Computed properties:
raw total energy = -4.614 eV per atom
energy of formation = 0.1099 eV per atom
total moment = 0.000 μB per cell

=====

## Tb2Pm2Nd5 (PBE)

Data for crystalline Tb2Pm2Nd5 at its relaxed geometry.

Structure (extended XYZ):
```
18
Lattice="-7.5324 5.9921 3.4523 7.5324 -5.9921 3.4523 7.5324 5.9921 -3.4523" Properties=species:S:1:pos:R:3 pbc="T T T"
Tb 0.0000 0.0000 0.0000
Tb 7.5324 0.0000 0.0000
Tb 3.7662 5.8974 3.0122
Tb -3.7662 6.0869 3.0122
Pm 1.9067 5.9487 -0.1457
Pm 5.6256 5.9487 -0.1457
Pm 1.9067 0.0435 3.3066
Pm 5.6256 0.0435 3.3066
Nd 8.3239 3.0397 -1.2073
Nd 6.7408 -2.9525 2.2450
Nd 3.7662 -2.9095 4.3379
Nd 2.1570 2.8069 1.0792
Nd 5.3753 2.8069 1.0792
Nd -0.7915 2.9525 2.2450
Nd 8.3239 2.9525 2.2450
Nd 3.7662 8.9017 0.8856
Nd -2.1570 9.1774 1.0792
Nd 2.1570 3.1852 4.5314
```

Computed properties:
raw total energy = -4.532 eV per atom
energy of formation = 0.2017 eV per atom
total moment = 0.000 μB per cell

=====

## Tb12PmNd7 (PBE)

Data for crystalline Tb12PmNd7 at its relaxed geometry.

Structure (extended XYZ):
```
20
Lattice="6.0385 3.4863 5.4242 -6.0385 3.4863 5.4242 0.0000 -6.9726 5.4242" Properties=species:S:1:pos:R:3 pbc="T T T"
Tb -5.2947 0.5320 6.7972
Tb -3.1081 -4.3193 9.4754
Tb -0.7730 -3.2488 7.2243
Tb -3.2000 -0.9549 9.0482
Tb -2.4270 2.2938 7.2243
Tb 2.1866 -4.8514 6.7972
Tb -2.1866 4.8514 9.4753
Tb 2.4270 -2.2938 9.0482
Tb 3.2000 0.9549 7.2243
Tb 0.7730 3.2488 9.0482
Tb 3.1081 4.3193 6.7972
Tb 5.2947 -0.5320 9.4754
Pm 0.0000 0.0000 8.1363
Nd 0.0000 0.0000 0.0000
Nd -1.9393 -0.5754 4.7173
Nd 1.4679 -1.3918 4.7173
Nd 0.4714 1.9672 4.7173
Nd -0.4714 -1.9672 11.5552
Nd -1.4679 1.3918 11.5552
Nd 1.9393 0.5753 11.5552
```

Computed properties:
raw total energy = -4.456 eV per atom
energy of formation = 0.2283 eV per atom
total moment = 0.000 μB per cell

=====

## Tb10Pm4Nd (PBE)

Data for crystalline Tb10Pm4Nd at its relaxed geometry.

Structure (extended XYZ):
```
15
Lattice="-4.9234 4.9234 5.4884 4.9234 -4.9234 5.4884 4.9234 4.9234 -5.4884" Properties=species:S:1:pos:R:3 pbc="T T T"
Tb 2.1619 -1.2105 1.8477
Tb 6.1339 -2.7615 3.6407
Tb 4.9234 0.0000 2.7442
Tb 7.6849 1.2105 1.8477
Tb 1.2105 2.1619 1.8477
Tb 3.7128 2.7615 3.6407
Tb -2.7615 3.7128 3.6407
Tb 0.0000 4.9234 2.7442
Tb -1.2105 7.6849 1.8477
Tb 2.7615 6.1339 3.6407
Pm 4.3879 2.0831 0.0000
Pm 2.8403 -0.5354 5.4884
Pm 2.0831 5.4588 0.0000
Pm 0.5354 2.8403 5.4884
Nd 0.0000 0.0000 0.0000
```

Computed properties:
raw total energy = -4.235 eV per atom
energy of formation = 0.4363 eV per atom
total moment = 0.000 μB per cell

=====

## TbPm5Nd4 (PBE)

Data for crystalline TbPm5Nd4 at its relaxed geometry.

Structure (extended XYZ):
```
10
Lattice="13.0587 -1.8277 0.0000 13.0587 1.8277 0.0000 -1.0348 0.0000 7.2298" Properties=species:S:1:pos:R:3 pbc="T T T"
Tb 0.0000 0.0000 0.0000
Pm -0.5174 0.0000 3.6149
Pm 4.5924 0.0000 4.3374
Pm 10.2639 0.0000 1.4436
Pm 14.8188 0.0000 5.7862
Pm 20.4903 0.0000 2.8924
Nd 5.1114 0.0000 0.7213
Nd 9.7456 0.0000 5.0697
Nd 15.3370 0.0000 2.1601
Nd 19.9712 0.0000 6.5085
```

Computed properties:
raw total energy = -4.732 eV per atom
energy of formation = 0.0138 eV per atom
total moment = 0.000 μB per cell

=====

## TbPm6Nd6 (PBE)

Data for crystalline TbPm6Nd6 at its relaxed geometry.

Structure (extended XYZ):
```
13
Lattice="6.7878 0.0000 0.0000 -3.3939 5.8784 0.0000 0.0000 0.0000 11.5854" Properties=species:S:1:pos:R:3 pbc="T T T"
Tb 0.0000 0.0000 0.0000
Pm 0.0000 0.0000 4.0711
Pm 0.0000 0.0000 7.5142
Pm 0.0000 3.9190 0.0000
Pm 0.0000 3.9190 5.7927
Pm 3.3939 1.9595 0.0000
Pm 3.3939 1.9595 5.7927
Nd -1.6970 2.9392 2.8817
Nd -1.6970 2.9392 8.7037
Nd 3.3939 0.0000 2.8817
Nd 3.3939 0.0000 8.7037
Nd 1.6970 2.9392 2.8817
Nd 1.6970 2.9392 8.7037
```

Computed properties:
raw total energy = -4.473 eV per atom
energy of formation = 0.2766 eV per atom
total moment = 0.002 μB per cell

=====

## TbPm6Nd5 (PBE)

Data for crystalline TbPm6Nd5 at its relaxed geometry.

Structure (extended XYZ):
```
12
Lattice="3.1680 -5.4860 0.0000 3.1680 5.4860 0.0000 -2.1212 0.0000 11.9414" Properties=species:S:1:pos:R:3 pbc="T T T"
Tb 0.0000 0.0000 0.0000
Pm 1.0498 1.8242 2.9734
Pm -0.0096 0.0000 8.9672
Pm 1.0498 -1.8242 2.9734
Pm 3.1650 1.8242 8.9680
Pm 4.2244 0.0000 2.9743
Pm 3.1650 -1.8242 8.9680
Nd 2.1074 3.6592 5.9707
Nd 3.1680 1.8296 0.0000
Nd 2.1074 0.0000 5.9707
Nd 3.1680 -1.8296 0.0000
Nd 2.1074 -3.6592 5.9707
```

Computed properties:
raw total energy = -4.735 eV per atom
energy of formation = 0.0129 eV per atom
total moment = 0.000 μB per cell

=====

## TbPm5Nd4 (PBE)

Data for crystalline TbPm5Nd4 at its relaxed geometry.

Structure (extended XYZ):
```
20
Lattice="10.8394 0.0000 0.0000 0.0000 10.8394 0.0000 0.0000 0.0000 5.8697" Properties=species:S:1:pos:R:3 pbc="T T T"
Tb 2.7098 2.7098 0.8060
Tb 8.1295 8.1295 5.0637
Pm 0.9539 0.9539 3.9095
Pm 0.9539 4.4657 3.9095
Pm 2.7098 8.1295 2.9348
Pm 4.4657 0.9539 3.9095
Pm 4.4657 4.4657 3.9095
Pm 6.3736 6.3736 1.9602
Pm 6.3736 9.8854 1.9602
Pm 8.1295 2.7098 2.9348
Pm 9.8854 6.3736 1.9602
Pm 9.8854 9.8854 1.9602
Nd 0.4865 8.1295 5.0894
Nd 2.7098 5.9061 0.7802
Nd 2.7098 10.3529 0.7802
Nd 4.9332 8.1295 5.0894
Nd 5.9061 2.7098 0.7802
Nd 8.1295 0.4865 5.0894
Nd 8.1295 4.9332 5.0894
Nd 10.3529 2.7098 0.7802
```

Computed properties:
raw total energy = -4.571 eV per atom
energy of formation = 0.1745 eV per atom
total moment = 0.000 μB per cell

=====

## TbPmNd6 (PBE)

Data for crystalline TbPmNd6 at its relaxed geometry.

Structure (extended XYZ):
```
8
Lattice="5.1755 0.0000 0.0000 0.0000 5.1755 0.0000 0.0000 0.0000 10.3569" Properties=species:S:1:pos:R:3 pbc="T T T"
Tb 0.0000 0.0000 0.0000
Pm 0.0000 0.0000 5.1784
Nd 0.0000 2.5878 2.5764
Nd 0.0000 2.5878 7.7805
Nd 2.5878 0.0000 2.5764
Nd 2.5878 0.0000 7.7805
Nd 2.5878 2.5878 0.0000
Nd 2.5878 2.5878 5.1784
```

Computed properties:
raw total energy = -4.734 eV per atom
energy of formation = 0.0146 eV per atom
total moment = 0.000 μB per cell

=====

## Tb12Pm7Nd (PBE)

Data for crystalline Tb12Pm7Nd at its relaxed geometry.

Structure (extended XYZ):
```
20
Lattice="-5.6822 5.6822 5.6822 5.6822 -5.6822 5.6822 5.6822 5.6822 -5.6822" Properties=species:S:1:pos:R:3 pbc="T T T"
Tb 5.6822 2.8339 -2.8339
Tb 5.6822 -2.8339 2.8339
Tb 2.8339 5.6822 -2.8339
Tb 2.8483 2.8483 0.0000
Tb 2.8483 0.0000 2.8483
Tb 2.8339 -2.8339 5.6822
Tb 5.6822 2.8339 2.8339
Tb 0.0000 2.8483 2.8483
Tb -2.8339 5.6822 2.8339
Tb -2.8339 2.8339 5.6822
Tb 2.8339 5.6822 2.8339
Tb 2.8339 2.8339 5.6822
Pm 2.8411 2.8411 -2.8411
Pm 2.8411 -2.8411 2.8411
Pm 5.6822 0.0000 0.0000
Pm -2.8411 2.8411 2.8411
Pm 0.0000 5.6822 0.0000
Pm 0.0000 0.0000 5.6822
Pm 2.8411 2.8411 2.8411
Nd 0.0000 0.0000 0.0000
```

Computed properties:
raw total energy = -4.053 eV per atom
energy of formation = 0.6261 eV per atom
total moment = 0.000 μB per cell

=====

## Tb6Pm3Nd (PBE)

Data for crystalline Tb6Pm3Nd at its relaxed geometry.

Structure (extended XYZ):
```
20
Lattice="5.5165 -9.5215 0.0000 5.5165 9.5215 0.0000 0.0000 0.0000 6.3597" Properties=species:S:1:pos:R:3 pbc="T T T"
Tb 5.5165 8.7749 3.1780
Tb 2.8678 3.9860 0.0000
Tb 5.5165 4.2919 4.6105
Tb 3.6756 0.8484 5.2554
Tb 3.6756 -0.8484 2.0756
Tb 2.8678 -3.9860 3.1799
Tb 8.1651 3.9860 0.0000
Tb 7.3573 0.8484 5.2554
Tb 7.3573 -0.8484 2.0756
Tb 5.5165 -4.2919 1.4306
Tb 8.1651 -3.9860 3.1799
Tb 5.5165 -8.7749 6.3579
Pm 1.9427 2.1632 2.6126
Pm 1.9427 -2.1632 5.7925
Pm 5.5165 2.1399 1.9072
Pm 5.5165 -2.1399 5.0871
Pm 9.0903 2.1632 2.6126
Pm 9.0903 -2.1632 5.7925
Nd 5.5165 5.7987 1.5555
Nd 5.5165 -5.7987 4.7353
```

Computed properties:
raw total energy = -4.533 eV per atom
energy of formation = 0.1467 eV per atom
total moment = 0.000 μB per cell

=====

## TbPm5Nd (PBE)

Data for crystalline TbPm5Nd at its relaxed geometry.

Structure (extended XYZ):
```
14
Lattice="6.0037 -3.4611 0.0000 6.0037 3.4611 0.0000 -4.5799 0.0000 11.5816" Properties=species:S:1:pos:R:3 pbc="T T T"
Tb 3.0019 1.7306 0.0000
Tb 0.7119 -1.7306 5.7908
Pm 4.8588 2.8357 2.8954
Pm 1.4899 0.8689 2.8606
Pm 2.7769 1.8440 5.7880
Pm 6.9407 1.8440 0.0028
Pm -0.8001 -0.8689 8.6514
Pm 8.2277 0.8689 2.9301
Pm 0.4869 -1.8440 11.5788
Pm 4.6507 -1.8440 5.7936
Pm 5.9377 -0.8689 8.7209
Pm 2.5688 -2.8357 8.6862
Nd 2.5688 0.2054 8.6862
Nd 4.8588 -0.2054 2.8954
```

Computed properties:
raw total energy = -4.572 eV per atom
energy of formation = 0.1643 eV per atom
total moment = 0.000 μB per cell

=====

## Tb4Pm3Nd2 (PBE)

Data for crystalline Tb4Pm3Nd2 at its relaxed geometry.

Structure (extended XYZ):
```
9
Lattice="6.2611 0.0000 0.0000 -3.1280 5.4263 0.0000 -0.0207 -3.5949 8.8666" Properties=species:S:1:pos:R:3 pbc="T T T"
Tb -0.5295 0.9091 2.9447
Tb 1.5624 0.8980 0.0003
Tb 1.5500 0.9333 8.8663
Tb 3.6419 0.9222 5.9219
Pm -1.5640 2.7131 0.0000
Pm 2.6055 -0.8908 2.9439
Pm 0.5070 2.7221 5.9227
Nd 0.5081 -0.8861 5.9208
Nd 2.6043 2.7174 2.9458
```

Computed properties:
raw total energy = -4.687 eV per atom
energy of formation = 0.0140 eV per atom
total moment = 0.000 μB per cell